[1]
A relaxed Ho8HgTe4P3 crystal. Source: Alexandria, functional PBE.

Structure (POSCAR):
```
Ho8HgTe4P3
1.0
4.1682 2.4065 6.9841
-4.1682 2.4065 6.9841
0.0000 -4.8130 6.9841
Ho Hg Te P
8 1 4 3
Direct
0.2287 0.7456 0.7456 Ho
0.2360 0.2360 0.2360 Ho
0.2544 0.2544 0.7713 Ho
0.2544 0.7713 0.2544 Ho
0.7456 0.2287 0.7456 Ho
0.7456 0.7456 0.2287 Ho
0.7640 0.7640 0.7640 Ho
0.7713 0.2544 0.2544 Ho
0.5000 0.5000 0.5000 Hg
0.0000 0.0000 0.0000 Te
0.0000 0.5000 0.5000 Te
0.5000 0.0000 0.5000 Te
0.5000 0.5000 0.0000 Te
0.0000 0.0000 0.5000 P
0.0000 0.5000 0.0000 P
0.5000 0.0000 0.0000 P
```

- Space-group type: No. 166
- Total magnetic moment: 0.000 Bohr magnetons per cell
- Formation energy without anion corrections: -1.33 eV/atom
- ρ: 8.4 g cm⁻³



[2]
A relaxed Tb5Dy4Er4 crystal. Source: Alexandria, functional PBE.

Structure (POSCAR):
```
Tb5Dy4Er4
1.0
-6.3644 6.3644 2.4930
6.3644 -6.3644 2.4930
6.3644 6.3644 -2.4930
Tb Dy Er
5 4 4
Direct
0.0000 0.0000 0.0000 Tb
0.3068 0.4616 0.7684 Tb
0.4616 0.6932 0.1549 Tb
0.5384 0.3068 0.8451 Tb
0.6932 0.5384 0.2316 Tb
0.1541 0.2313 0.3854 Dy
0.2313 0.8459 0.0773 Dy
0.7687 0.1541 0.9227 Dy
0.8459 0.7687 0.6146 Dy
0.0765 0.6147 0.6912 Er
0.3853 0.0765 0.4618 Er
0.6147 0.9235 0.5382 Er
0.9235 0.3853 0.3088 Er
```

- Space-group type: No. 87
- Energy of formation from the pure elements: 2 kJ/mol of atoms
- Total magnetic moment: 0.000 Bohr magnetons per cell
- ρ: 8.7 g cm⁻³



[3]
A relaxed NpUNiRh crystal. Source: Alexandria, functional PBE.

Structure (POSCAR):
```
NpUNiRh
1.0
6.4180 0.0000 0.0000
0.0000 6.4180 0.0000
0.0000 0.0000 6.4180
Np U Ni Rh
4 4 4 4
Direct
0.0000 0.0000 0.0000 Np
0.0000 0.5000 0.5000 Np
0.5000 0.0000 0.5000 Np
0.5000 0.5000 0.0000 Np
0.2500 0.2500 0.2500 U
0.2500 0.7500 0.7500 U
0.7500 0.2500 0.7500 U
0.7500 0.7500 0.2500 U
0.2500 0.2500 0.7500 Ni
0.2500 0.7500 0.2500 Ni
0.7500 0.2500 0.2500 Ni
0.7500 0.7500 0.7500 Ni
0.0000 0.0000 0.5000 Rh
0.0000 0.5000 0.0000 Rh
0.5000 0.0000 0.0000 Rh
0.5000 0.5000 0.5000 Rh
```

- Space-group type: No. 216
- Energy of formation from the pure elements: -40 kJ/mol of atoms
- Total magnetic moment: 15.875 Bohr magnetons per cell
- ρ: 16.0 g cm⁻³



[4]
A relaxed Li2Ti3Se6 crystal. Source: Alexandria, functional PBE.

Structure (POSCAR):
```
Li2Ti3Se6
1.0
3.1225 -5.4089 0.0000
3.1225 5.4089 0.0000
-2.0815 0.0000 6.5745
Li Ti Se
2 3 6
Direct
0.1668 0.8332 0.0000 Li
0.8332 0.1668 0.0000 Li
0.0000 0.0000 0.5000 Ti
0.3331 0.6669 0.5000 Ti
0.6669 0.3331 0.5000 Ti
0.0797 0.4118 0.7355 Se
0.2562 0.2562 0.2647 Se
0.4118 0.0797 0.7355 Se
0.5882 0.9203 0.2645 Se
0.7438 0.7438 0.7353 Se
0.9203 0.5882 0.2645 Se
```

- Space-group type: No. 12
- Total magnetic moment: 0.993 Bohr magnetons per cell
- Formation energy without anion corrections: -1.20 eV/atom
- ρ: 4.7 g cm⁻³



[5]
A relaxed Ta3AuCl crystal. Source: Alexandria, functional PBE.

Structure (POSCAR):
```
Ta3AuCl
1.0
4.5194 0.0000 0.0000
0.0000 4.5194 0.0000
0.0000 0.0000 4.5194
Ta Au Cl
3 1 1
Direct
0.0000 0.0000 0.5000 Ta
0.0000 0.5000 0.0000 Ta
0.5000 0.0000 0.0000 Ta
0.5000 0.5000 0.5000 Au
0.0000 0.0000 0.0000 Cl
```

- Space-group type: No. 221
- Total magnetic moment: 0.000 Bohr magnetons per cell
- Formation energy without anion corrections: 0.88 eV/atom
- ρ: 13.9 g cm⁻³



[6]
A relaxed K2AsPt crystal. Source: Alexandria, functional PBE.

Structure (POSCAR):
```
K2AsPt
1.0
5.1364 0.0000 0.0000
0.0000 5.1364 0.0000
0.0000 0.0000 7.2451
K As Pt
4 2 2
Direct
0.0000 0.0000 0.0000 K
0.0000 0.5000 0.2500 K
0.5000 0.0000 0.7500 K
0.5000 0.5000 0.5000 K
0.0000 0.5000 0.7500 As
0.5000 0.0000 0.2500 As
0.0000 0.0000 0.5000 Pt
0.5000 0.5000 0.0000 Pt
```

- Space-group type: No. 119
- Energy of formation from the pure elements: 8 kJ/mol of atoms
- Total magnetic moment: 0.000 Bohr magnetons per cell
- ρ: 6.0 g cm⁻³



[7]
A relaxed CaPmCd crystal. Source: Alexandria, functional PBE.

Structure (POSCAR):
```
CaPmCd
1.0
5.4032 0.0000 0.0000
0.0000 13.1213 0.0000
0.0000 0.0000 5.3858
Ca Pm Cd
4 4 4
Direct
0.0000 0.1034 0.2500 Ca
0.0000 0.8966 0.7500 Ca
0.5000 0.3966 0.7500 Ca
0.5000 0.6034 0.2500 Ca
0.0000 0.3895 0.2500 Pm
0.0000 0.6105 0.7500 Pm
0.5000 0.1105 0.7500 Pm
0.5000 0.8895 0.2500 Pm
0.0000 0.2501 0.7500 Cd
0.0000 0.7499 0.2500 Cd
0.5000 0.2499 0.2500 Cd
0.5000 0.7501 0.7500 Cd
```

- Space-group type: No. 63
- Energy of formation from the pure elements: -18 kJ/mol of atoms
- Total magnetic moment: 0.000 Bohr magnetons per cell
- ρ: 5.2 g cm⁻³



[8]
A relaxed B2C3 crystal. Source: Alexandria, functional PBE.

Structure (POSCAR):
```
B2C3
1.0
3.5375 0.0000 0.0000
1.4765 4.0452 0.0000
1.3597 -0.2518 4.7367
B C
4 6
Direct
0.0495 0.1403 0.3813 B
0.2060 0.1805 0.6979 B
0.7940 0.8195 0.3021 B
0.9505 0.8597 0.6187 B
0.3132 0.5191 0.6454 C
0.4486 0.6005 0.8922 C
0.4904 0.9313 0.8648 C
0.5096 0.0687 0.1352 C
0.5514 0.3995 0.1078 C
0.6868 0.4809 0.3546 C
```

- Space-group type: No. 2
- Energy of formation from the pure elements: 32 kJ/mol of atoms
- Total magnetic moment: 0.000 Bohr magnetons per cell
- ρ: 2.8 g cm⁻³



[9]
A relaxed Pt3O4 crystal. Source: Alexandria, functional PBE.

Structure (POSCAR):
```
Pt3O4
1.0
5.4763 0.0000 0.0000
0.0000 5.4763 0.0000
0.0000 0.0000 5.4763
Pt O
6 8
Direct
0.0000 0.0000 0.5000 Pt
0.0000 0.5000 0.0000 Pt
0.0000 0.5000 0.5000 Pt
0.5000 0.0000 0.0000 Pt
0.5000 0.0000 0.5000 Pt
0.5000 0.5000 0.0000 Pt
0.2500 0.2500 0.2500 O
0.2500 0.2500 0.7500 O
0.2500 0.7500 0.2500 O
0.2500 0.7500 0.7500 O
0.7500 0.2500 0.2500 O
0.7500 0.2500 0.7500 O
0.7500 0.7500 0.2500 O
0.7500 0.7500 0.7500 O
```

- Space-group type: No. 229
- Total magnetic moment: 0.000 Bohr magnetons per cell
- Formation energy without anion corrections: 0.64 eV/atom
- ρ: 13.1 g cm⁻³



[10]
A relaxed SmDyCdGa crystal. Source: Alexandria, functional PBE.

Structure (POSCAR):
```
SmDyCdGa
1.0
7.3972 0.0000 0.0000
0.0000 7.3972 0.0000
0.0000 0.0000 7.3972
Sm Dy Cd Ga
4 4 4 4
Direct
0.0000 0.0000 0.0000 Sm
0.0000 0.5000 0.5000 Sm
0.5000 0.0000 0.5000 Sm
0.5000 0.5000 0.0000 Sm
0.0000 0.0000 0.5000 Dy
0.0000 0.5000 0.0000 Dy
0.5000 0.0000 0.0000 Dy
0.5000 0.5000 0.5000 Dy
0.2500 0.2500 0.7500 Cd
0.2500 0.7500 0.2500 Cd
0.7500 0.2500 0.2500 Cd
0.7500 0.7500 0.7500 Cd
0.2500 0.2500 0.2500 Ga
0.2500 0.7500 0.7500 Ga
0.7500 0.2500 0.7500 Ga
0.7500 0.7500 0.2500 Ga
```

- Space-group type: No. 216
- Energy of formation from the pure elements: -42 kJ/mol of atoms
- Total magnetic moment: 0.000 Bohr magnetons per cell
- ρ: 8.1 g cm⁻³



[11]
A relaxed TbDy crystal. Source: Alexandria, functional PBE.

Structure (POSCAR):
```
TbDy
1.0
3.5354 0.0000 0.0000
0.0000 5.0215 0.0000
0.0000 0.0000 7.0903
Tb Dy
2 2
Direct
0.2500 0.2500 0.1253 Tb
0.7500 0.7500 0.8747 Tb
0.2500 0.2500 0.6247 Dy
0.7500 0.7500 0.3753 Dy
```

- Space-group type: No. 59
- Energy of formation from the pure elements: 1 kJ/mol of atoms
- Total magnetic moment: 0.000 Bohr magnetons per cell
- ρ: 8.5 g cm⁻³



[12]
A relaxed LaEr2Se3 crystal. Source: Alexandria, functional PBE.

Structure (POSCAR):
```
LaEr2Se3
1.0
4.0889 0.0000 0.0000
0.0000 5.8676 0.0000
0.0000 0.0000 12.4860
La Er Se
2 4 6
Direct
0.0000 0.0000 0.0000 La
0.5000 0.5000 0.5000 La
0.0000 0.0000 0.3405 Er
0.0000 0.0000 0.6595 Er
0.5000 0.5000 0.1595 Er
0.5000 0.5000 0.8405 Er
0.0000 0.5000 0.0000 Se
0.0000 0.5000 0.3195 Se
0.0000 0.5000 0.6805 Se
0.5000 0.0000 0.1805 Se
0.5000 0.0000 0.5000 Se
0.5000 0.0000 0.8195 Se
```

- Space-group type: No. 71
- Total magnetic moment: 0.000 Bohr magnetons per cell
- Formation energy without anion corrections: -1.78 eV/atom
- ρ: 7.9 g cm⁻³



[13]
A relaxed ReSbPCl2 crystal. Source: Alexandria, functional PBE.

Structure (POSCAR):
```
ReSbPCl2
1.0
5.1481 0.0000 0.0000
0.0000 5.1481 0.0000
0.0000 0.0000 5.3730
Re Sb P Cl
1 1 1 2
Direct
0.0000 0.0000 0.0000 Re
0.5000 0.5000 0.5000 Sb
0.5000 0.5000 0.0000 P
0.0000 0.5000 0.5000 Cl
0.5000 0.0000 0.5000 Cl
```

- Space-group type: No. 123
- Total magnetic moment: 5.277 Bohr magnetons per cell
- Formation energy without anion corrections: 1.25 eV/atom
- ρ: 4.8 g cm⁻³



[14]
A relaxed Tb2PaTl3S6 crystal. Source: Alexandria, functional PBE.

Structure (POSCAR):
```
Tb2PaTl3S6
1.0
3.4796 -6.0315 0.0000
3.4796 6.0315 0.0000
-2.3810 0.0000 7.9007
Tb Pa Tl S
2 1 3 6
Direct
0.1662 0.8338 0.0000 Tb
0.8338 0.1662 0.0000 Tb
0.5000 0.5000 0.0000 Pa
0.0000 0.0000 0.5000 Tl
0.3259 0.6741 0.5000 Tl
0.6741 0.3259 0.5000 Tl
0.1080 0.4363 0.8136 S
0.2362 0.2362 0.1889 S
0.4363 0.1080 0.8136 S
0.5637 0.8920 0.1864 S
0.7638 0.7638 0.8111 S
0.8920 0.5637 0.1864 S
```

- Space-group type: No. 12
- Total magnetic moment: 1.534 Bohr magnetons per cell
- Formation energy without anion corrections: -1.34 eV/atom
- ρ: 6.8 g cm⁻³



[15]
A relaxed CrTc crystal. Source: Alexandria, functional PBE.

Structure (POSCAR):
```
CrTc
1.0
9.7111 0.0000 0.0000
0.0000 4.2760 0.0000
0.0000 0.0000 5.1288
Cr Tc
8 8
Direct
0.0760 0.2500 0.1734 Cr
0.1811 0.7500 0.4877 Cr
0.3189 0.2500 0.9877 Cr
0.4240 0.7500 0.6734 Cr
0.5760 0.2500 0.3266 Cr
0.6811 0.7500 0.0123 Cr
0.8189 0.2500 0.5123 Cr
0.9240 0.7500 0.8266 Cr
0.0651 0.2500 0.6698 Tc
0.1764 0.7500 0.9856 Tc
0.3236 0.2500 0.4856 Tc
0.4349 0.7500 0.1698 Tc
0.5651 0.2500 0.8302 Tc
0.6764 0.7500 0.5144 Tc
0.8236 0.2500 0.0144 Tc
0.9349 0.7500 0.3302 Tc
```

- Space-group type: No. 62
- Energy of formation from the pure elements: 13 kJ/mol of atoms
- Total magnetic moment: 0.004 Bohr magnetons per cell
- ρ: 9.4 g cm⁻³



[16]
A relaxed Re2Ag2F crystal. Source: Alexandria, functional PBE.

Structure (POSCAR):
```
Re2Ag2F
1.0
3.7045 0.0000 0.0000
0.0000 3.7045 0.0000
0.0000 0.0000 13.0074
Re Ag F
4 4 2
Direct
0.0000 0.0000 0.0859 Re
0.0000 0.0000 0.9141 Re
0.5000 0.5000 0.4141 Re
0.5000 0.5000 0.5859 Re
0.0000 0.5000 0.2500 Ag
0.0000 0.5000 0.7500 Ag
0.5000 0.0000 0.2500 Ag
0.5000 0.0000 0.7500 Ag
0.0000 0.0000 0.5000 F
0.5000 0.5000 0.0000 F
```

- Space-group type: No. 139
- Total magnetic moment: 2.837 Bohr magnetons per cell
- Formation energy without anion corrections: 1.21 eV/atom
- ρ: 11.3 g cm⁻³



[17]
A relaxed Ba2Cd2Pd5Pb crystal. Source: Alexandria, functional PBE.

Structure (POSCAR):
```
Ba2Cd2Pd5Pb
1.0
10.8873 0.0000 0.0000
0.0000 10.8873 0.0000
0.0000 0.0000 3.8836
Ba Cd Pd Pb
4 4 10 2
Direct
0.1766 0.3234 0.0000 Ba
0.3234 0.8234 0.0000 Ba
0.6766 0.1766 0.0000 Ba
0.8234 0.6766 0.0000 Ba
0.1225 0.6225 0.0000 Cd
0.3775 0.1225 0.0000 Cd
0.6225 0.8775 0.0000 Cd
0.8775 0.3775 0.0000 Cd
0.0000 0.5000 0.5000 Pd
0.0570 0.8002 0.5000 Pd
0.1998 0.0570 0.5000 Pd
0.3002 0.5570 0.5000 Pd
0.4430 0.3002 0.5000 Pd
0.5000 0.0000 0.5000 Pd
0.5570 0.6998 0.5000 Pd
0.6998 0.4430 0.5000 Pd
0.8002 0.9430 0.5000 Pd
0.9430 0.1998 0.5000 Pd
0.0000 0.0000 0.0000 Pb
0.5000 0.5000 0.0000 Pb
```

- Space-group type: No. 127
- Energy of formation from the pure elements: -36 kJ/mol of atoms
- Total magnetic moment: 0.000 Bohr magnetons per cell
- ρ: 8.9 g cm⁻³



[18]
A relaxed Hf3IrW crystal. Source: Alexandria, functional PBE.

Structure (POSCAR):
```
Hf3IrW
1.0
4.9283 0.0000 0.0000
0.0000 4.9283 0.0000
0.0000 0.0000 4.9283
Hf Ir W
3 1 1
Direct
0.0000 0.0000 0.5000 Hf
0.0000 0.5000 0.0000 Hf
0.5000 0.0000 0.0000 Hf
0.0000 0.0000 0.0000 Ir
0.5000 0.5000 0.5000 W
```

- Space-group type: No. 221
- Energy of formation from the pure elements: 79 kJ/mol of atoms
- Total magnetic moment: 1.138 Bohr magnetons per cell
- ρ: 12.6 g cm⁻³



[19]
A relaxed TbHo6Sc2 crystal. Source: Alexandria, functional PBE.

Structure (POSCAR):
```
TbHo6Sc2
1.0
6.5571 -5.6807 0.0000
6.5571 5.6807 0.0000
-5.0467 0.0000 7.1986
Tb Ho Sc
2 12 4
Direct
0.0821 0.9179 0.7500 Tb
0.9179 0.0821 0.2500 Tb
0.1131 0.2948 0.1283 Ho
0.1970 0.4983 0.5894 Ho
0.2948 0.1131 0.6283 Ho
0.2966 0.5353 0.0137 Ho
0.4647 0.7034 0.4863 Ho
0.4983 0.1970 0.0894 Ho
0.5017 0.8030 0.9106 Ho
0.5353 0.2966 0.5137 Ho
0.7034 0.4647 0.9863 Ho
0.7052 0.8869 0.3717 Ho
0.8030 0.5017 0.4106 Ho
0.8869 0.7052 0.8717 Ho
0.0597 0.7201 0.3031 Sc
0.2799 0.9403 0.1969 Sc
0.7201 0.0597 0.8031 Sc
0.9403 0.2799 0.6969 Sc
```

- Space-group type: No. 15
- Energy of formation from the pure elements: 8 kJ/mol of atoms
- Total magnetic moment: 0.005 Bohr magnetons per cell
- ρ: 7.7 g cm⁻³



[20]
A relaxed LiTlGeAu crystal. Source: Alexandria, functional PBE.

Structure (POSCAR):
```
LiTlGeAu
1.0
6.8297 0.0000 0.0000
0.0000 6.8297 0.0000
0.0000 0.0000 6.8297
Li Tl Ge Au
4 4 4 4
Direct
0.0000 0.0000 0.0000 Li
0.0000 0.5000 0.5000 Li
0.5000 0.0000 0.5000 Li
0.5000 0.5000 0.0000 Li
0.2500 0.2500 0.2500 Tl
0.2500 0.7500 0.7500 Tl
0.7500 0.2500 0.7500 Tl
0.7500 0.7500 0.2500 Tl
0.0000 0.0000 0.5000 Ge
0.0000 0.5000 0.0000 Ge
0.5000 0.0000 0.0000 Ge
0.5000 0.5000 0.5000 Ge
0.2500 0.2500 0.7500 Au
0.2500 0.7500 0.2500 Au
0.7500 0.2500 0.2500 Au
0.7500 0.7500 0.7500 Au
```

- Space-group type: No. 216
- Energy of formation from the pure elements: -7 kJ/mol of atoms
- Total magnetic moment: 0.000 Bohr magnetons per cell
- ρ: 10.0 g cm⁻³